1.
NdVF5 PBE with a Hubbard U optimized geometry; crystal system = monoclinic
1.0
-2.083 -4.466 3.172
4.543 -2.679 2.555
0.216 1.861 7.720
Nd F V
2 10 2
Cartesian
1.740 -2.084 8.621
0.936 -3.201 4.826
2.133 -4.229 9.147
2.569 -2.321 6.313
2.506 -3.218 3.041
0.543 -1.056 4.300
0.170 -2.067 10.407
0.107 -2.964 7.134
-1.331 -3.813 5.037
1.763 -5.230 5.311
4.007 -1.472 8.411
0.913 -0.055 8.136
0.108 0.930 3.860
0.000 0.000 0.000

=====

2.
NdWF6 PBE with a Hubbard U optimized geometry; crystal system = trigonal
1.0
5.426 -3.092 -0.147
5.426 3.092 -0.147
3.802 0.000 4.957
F Nd W
6 1 1
Cartesian
9.158 0.106 0.966
6.312 1.660 1.131
8.286 1.554 3.706
8.342 -1.660 3.531
5.496 -0.106 3.696
6.368 -1.554 0.956
7.327 0.000 2.331
0.000 0.000 0.000

=====

Calculated raw total energy (eV per atom), listed in the same order as above: -6.530 -6.227